Entry 1:
VASP calculation (SCAN) on TcPW2Au at its PBEsol-relaxed geometry.

Cell: 4.7698 4.7698 4.8086 Å, 90.00 90.00 90.00°
Last column: nearest neighbours and their distance in Å.
Fractional positions:
Tc 0.0000 0.0000 0.0000  2 Au 2.40
P 0.5000 0.5000 0.0000  4 Tc 3.37, 8 W 3.39
W 0.0000 0.5000 0.5000  2 Au 2.38
W 0.5000 0.0000 0.5000  2 Au 2.38
Au 0.0000 0.0000 0.5000  4 W 2.38, 2 Tc 2.40

## Properties
energy of formation from the pure elements	268	kJ per mole of atoms
space-group type	P4/mmm, No. 123
calculated total energy	-48.02	eV per atom

***

Entry 2:
VASP calculation (SCAN) on Rb3NaNi at its PBEsol-relaxed geometry.

Cell: 6.4205 6.4205 6.4205 Å, 90.00 90.00 90.00°
Last column: nearest neighbours and their distance in Å.
Fractional positions:
Rb 0.0000 0.0000 0.5000  2 Ni 3.21
Rb 0.0000 0.5000 0.0000  2 Ni 3.21
Rb 0.5000 0.0000 0.0000  2 Ni 3.21
Na 0.5000 0.5000 0.5000  12 Rb 4.54
Ni 0.0000 0.0000 0.0000  6 Rb 3.21

## Properties
energy of formation from the pure elements	49	kJ per mole of atoms
space-group type	Pm-3m, No. 221
calculated total energy	-16.01	eV per atom

***

Entry 3:
VASP calculation (SCAN) on NiHgPb2 at its PBEsol-relaxed geometry.

Cell: 5.6606 5.6606 5.6606 Å, 135.17 135.17 65.26°
Last column: nearest neighbours and their distance in Å.
Fractional positions:
Ni 0.0000 0.0000 0.0000  8 Pb 3.05-3.22, 4 Hg 3.22
Hg 0.2500 0.7500 0.5000  8 Pb 3.05-3.22, 4 Ni 3.22
Pb 0.5000 0.5000 0.0000  4 Ni 3.05, 4 Hg 3.22, 4 Pb 3.22
Pb 0.7500 0.2500 0.5000  4 Hg 3.05, 4 Pb 3.22, 4 Ni 3.22

## Properties
energy of formation from the pure elements	44	kJ per mole of atoms
space-group type	I-4m2, No. 119
calculated total energy	-58.52	eV per atom

***

Entry 4:
VASP calculation (SCAN) on Tb3Sc at its PBEsol-relaxed geometry.

Cell: 4.8292 4.8292 4.8292 Å, 90.00 90.00 90.00°
Last column: nearest neighbours and their distance in Å.
Fractional positions:
Tb 0.0000 0.0000 0.5000  4 Sc 3.41, 8 Tb 3.41
Tb 0.0000 0.5000 0.0000  4 Sc 3.41, 8 Tb 3.41
Tb 0.5000 0.0000 0.0000  4 Sc 3.41, 8 Tb 3.41
Sc 0.5000 0.5000 0.5000  12 Tb 3.41

## Properties
energy of formation from the pure elements	3	kJ per mole of atoms
space-group type	Pm-3m, No. 221
offset from the most stable computed form	0.0000	eV per atom
calculated total energy	-38.60	eV per atom

***

Entry 5:
VASP calculation (SCAN) on MgScCr at its PBEsol-relaxed geometry.

Cell: 4.6298 4.6298 4.6298 Å, 60.00 60.00 60.00°
Last column: nearest neighbours and their distance in Å.
Fractional positions:
Mg 0.0000 0.0000 0.0000  4 Cr 2.84, 4 Sc 2.84
Sc 0.2500 0.2500 0.2500  4 Mg 2.84
Cr 0.7500 0.7500 0.7500  4 Mg 2.84

## Properties
energy of formation from the pure elements	69	kJ per mole of atoms
space-group type	F-43m, No. 216
calculated total energy	-11.82	eV per atom

***

Entry 6:
VASP calculation (SCAN) on DyGaFeCo3 at its PBEsol-relaxed geometry.

Cell: 4.7981 3.9388 4.9297 Å, 90.00 118.47 90.00°
Last column: nearest neighbours and their distance in Å.
Fractional positions:
Dy 0.0000 0.0000 0.0000  6 Co 2.76-2.88
Ga 0.5000 0.5000 0.0000  6 Co 2.46-2.52, 2 Fe 2.49
Fe 0.0000 0.5000 0.5000  6 Co 2.39-2.40, 2 Ga 2.49
Co 0.3193 0.0000 0.6368  3 Co 2.38-2.66, 2 Fe 2.39, 2 Ga 2.52
Co 0.5000 0.5000 0.5000  4 Co 2.38, 2 Fe 2.40, 2 Ga 2.46
Co 0.6807 0.0000 0.3632  3 Co 2.38-2.66, 2 Fe 2.39, 2 Ga 2.52

## Properties
energy of formation from the pure elements	-26	kJ per mole of atoms
space-group type	P2/m, No. 10
calculated total energy	-22.63	eV per atom

***

Entry 7:
VASP calculation (SCAN) on LaIn3Se at its PBEsol-relaxed geometry.

Cell: 5.3355 5.3355 5.3355 Å, 90.00 90.00 90.00°
Last column: nearest neighbours and their distance in Å.
Fractional positions:
La 0.0000 0.0000 0.0000  12 In 3.77
In 0.0000 0.5000 0.5000  2 Se 2.67
In 0.5000 0.0000 0.5000  2 Se 2.67
In 0.5000 0.5000 0.0000  2 Se 2.67
Se 0.5000 0.5000 0.5000  6 In 2.67

## Properties
energy relative to the elements, uncorrected	72.2	meV/atom
space-group type	Pm-3m, No. 221
calculated total energy	-32.60	eV per atom

***

Entry 8:
VASP calculation (SCAN) on SrGeAs3 at its PBEsol-relaxed geometry.

Cell: 5.3989 5.3989 5.3989 Å, 90.00 90.00 90.00°
Last column: nearest neighbours and their distance in Å.
Fractional positions:
Sr 0.0000 0.0000 0.0000  6 As 2.70
Ge 0.5000 0.5000 0.5000  12 As 3.82
As 0.0000 0.0000 0.5000  2 Sr 2.70
As 0.0000 0.5000 0.0000  2 Sr 2.70
As 0.5000 0.0000 0.0000  2 Sr 2.70

## Properties
energy of formation from the pure elements	124	kJ per mole of atoms
space-group type	Pm-3m, No. 221
offset from the most stable computed form	1.2855	eV per atom
calculated total energy	-19.11	eV per atom